Arrangement a

A relaxed structure of TaC2, computed with PBE.

Unit cell a=4.3822 b=4.3822 c=4.3822 alpha=60.00 beta=60.00 gamma=60.00
Last column: nearest neighbours and their distance in Å.
Fractional coordinates of all 6 atoms:
C 0.6250 0.6250 0.1250  6 C 2.19
C 0.6250 0.1250 0.6250  6 C 2.19
C 0.1250 0.6250 0.6250  6 C 2.19
C 0.6250 0.6250 0.6250  6 C 2.19
Ta 0.0000 0.0000 0.0000  12 C 2.57, 4 Ta 2.68
Ta 0.2500 0.2500 0.2500  12 C 2.57, 4 Ta 2.68

Calculated values
Theoretical density (Mg/m³): 11.44
Symmetry: No. 227
Magnetization (μB/f.u.): 0.00


Arrangement b

A relaxed structure of TaC2, computed with PBE.

Unit cell a=6.5839 b=6.5839 c=6.5839 alpha=60.00 beta=60.00 gamma=60.00
Last column: nearest neighbours and their distance in Å.
Fractional coordinates of all 6 atoms:
C 0.3750 0.3750 0.3750  2 Ta 2.02
C 0.8750 0.3750 0.3750  2 Ta 2.02
C 0.3750 0.8750 0.3750  2 Ta 2.02
C 0.3750 0.3750 0.8750  2 Ta 2.02
Ta 0.2500 0.2500 0.2500  4 C 2.02
Ta 0.5000 0.5000 0.5000  4 C 2.02

Calculated values
Theoretical density (Mg/m³): 3.37
Symmetry: No. 227
Magnetization (μB/f.u.): 0.00


Q: Which of them is the most stable? A: arrangement b.


Arrangement a

A relaxed structure of TbC2, computed with PBE.

Unit cell a=3.6887 b=3.6887 c=4.0623 alpha=117.00 beta=117.00 gamma=90.00
Last column: nearest neighbours and their distance in Å.
Fractional coordinates of all 3 atoms:
C 0.6046 0.6046 0.2092  1 C 1.30
C 0.3954 0.3954 0.7908  1 C 1.30
Tb 0.0000 0.0000 0.0000  10 C 2.46-2.69

Calculated values
Theoretical density (Mg/m³): 7.17
Symmetry: No. 139
Magnetization (μB/f.u.): 0.00


Arrangement b

A relaxed structure of TbC2, computed with PBE.

Unit cell a=7.4618 b=7.4618 c=7.4618 alpha=60.00 beta=60.00 gamma=60.00
Last column: nearest neighbours and their distance in Å.
Fractional coordinates of all 6 atoms:
C 0.3750 0.3750 0.3750  2 Tb 2.28
C 0.8750 0.3750 0.3750  2 Tb 2.28
C 0.3750 0.8750 0.3750  2 Tb 2.28
C 0.3750 0.3750 0.8750  2 Tb 2.28
Tb 0.2500 0.2500 0.2500  4 C 2.28
Tb 0.5000 0.5000 0.5000  4 C 2.28

Calculated values
Theoretical density (Mg/m³): 2.07
Symmetry: No. 227
Magnetization (μB/f.u.): 3.00


Arrangement c

A relaxed structure of TbC2, computed with PBE.

Unit cell a=4.6188 b=4.6188 c=4.6188 alpha=60.00 beta=60.00 gamma=60.00
Last column: nearest neighbours and their distance in Å.
Fractional coordinates of all 6 atoms:
C 0.6250 0.6250 0.1250  6 C 2.31
C 0.6250 0.1250 0.6250  6 C 2.31
C 0.1250 0.6250 0.6250  6 C 2.31
C 0.6250 0.6250 0.6250  6 C 2.31
Tb 0.0000 0.0000 0.0000  12 C 2.71, 4 Tb 2.83
Tb 0.2500 0.2500 0.2500  12 C 2.71, 4 Tb 2.83

Calculated values
Theoretical density (Mg/m³): 8.72
Symmetry: No. 227
Magnetization (μB/f.u.): 0.00


Q: Which of them is the most stable? A: arrangement a.


Arrangement a

A relaxed structure of TcC2, computed with PBE.

Unit cell a=4.2788 b=4.2788 c=4.2788 alpha=60.00 beta=60.00 gamma=60.00
Last column: nearest neighbours and their distance in Å.
Fractional coordinates of all 6 atoms:
C 0.6250 0.6250 0.1250  6 C 2.14
C 0.6250 0.1250 0.6250  6 C 2.14
C 0.1250 0.6250 0.6250  6 C 2.14
C 0.6250 0.6250 0.6250  6 C 2.14
Tc 0.0000 0.0000 0.0000  12 C 2.51, 4 Tc 2.62
Tc 0.2500 0.2500 0.2500  12 C 2.51, 4 Tc 2.62

Calculated values
Theoretical density (Mg/m³): 7.32
Symmetry: No. 227
Magnetization (μB/f.u.): 0.01


Arrangement b

A relaxed structure of TcC2, computed with PBE.

Unit cell a=5.6847 b=4.8877 c=5.7582 alpha=90.00 beta=118.87 gamma=90.00
Last column: nearest neighbours and their distance in Å.
Fractional coordinates of all 12 atoms:
C 0.3604 0.7312 0.0517  3 Tc 1.97-2.18
C 0.9259 0.8085 0.1517  3 Tc 1.97-2.18
C 0.0741 0.3085 0.3483  3 Tc 1.97-2.18
C 0.6396 0.2312 0.4483  3 Tc 1.97-2.18
C 0.3604 0.7688 0.5517  3 Tc 1.97-2.18
C 0.9259 0.6915 0.6517  3 Tc 1.97-2.18
C 0.0741 0.1915 0.8483  3 Tc 1.97-2.18
C 0.6396 0.2688 0.9483  3 Tc 1.97-2.18
Tc 0.2594 0.0105 0.2431  6 C 1.97-2.18
Tc 0.7406 0.5105 0.2569  6 C 1.97-2.18
Tc 0.2594 0.4895 0.7431  6 C 1.97-2.18
Tc 0.7406 0.9895 0.7569  6 C 1.97-2.18

Calculated values
Theoretical density (Mg/m³): 5.78
Symmetry: No. 14
Magnetization (μB/f.u.): 0.00


Q: Which of them is the most stable? A: arrangement b.


Arrangement a

A relaxed structure of TcC, computed with PBE.

Unit cell a=3.0628 b=3.0628 c=3.0628 alpha=60.00 beta=60.00 gamma=60.00
Last column: nearest neighbours and their distance in Å.
Fractional coordinates of all 2 atoms:
C 0.0000 0.0000 0.0000  6 Tc 2.17
Tc 0.5000 0.5000 0.5000  6 C 2.17

Calculated values
Theoretical density (Mg/m³): 8.99
Symmetry: No. 225
Magnetization (μB/f.u.): 0.36


Arrangement b

A relaxed structure of TcC, computed with PBE.

Unit cell a=2.8673 b=2.8673 c=2.7917 alpha=90.00 beta=90.00 gamma=120.00
Last column: nearest neighbours and their distance in Å.
Fractional coordinates of all 2 atoms:
C 0.6667 0.3333 0.7500  6 Tc 2.17
Tc 0.3333 0.6667 0.2500  6 C 2.17

Calculated values
Theoretical density (Mg/m³): 9.19
Symmetry: No. 187
Magnetization (μB/f.u.): 0.00


Q: Which of them is the most stable? A: arrangement b.


Arrangement a

A relaxed structure of YZrTeC, computed with PBE.

Unit cell a=3.6626 b=3.6626 c=13.8285 alpha=90.00 beta=90.00 gamma=120.00
Last column: nearest neighbours and their distance in Å.
Fractional coordinates of all 8 atoms:
C 0.0000 0.0000 0.0097  3 Zr 2.39, 3 Y 2.54
C 0.0000 0.0000 0.5097  3 Zr 2.39, 3 Y 2.54
Te 0.6667 0.3333 0.2415  3 Zr 2.97, 3 Y 3.13
Te 0.3333 0.6667 0.7415  3 Zr 2.97, 3 Y 3.13
Y 0.3333 0.6667 0.4081  3 C 2.54
Y 0.6667 0.3333 0.9081  3 C 2.54
Zr 0.3333 0.6667 0.0907  3 C 2.39
Zr 0.6667 0.3333 0.5907  3 C 2.39

Calculated values
Theoretical density (Mg/m³): 6.61
Symmetry: No. 186
Magnetization (μB/f.u.): 0.00


Arrangement b

A relaxed structure of YZrTeC, computed with PBE.

Unit cell a=3.6601 b=3.6601 c=13.8436 alpha=90.00 beta=90.00 gamma=120.00
Last column: nearest neighbours and their distance in Å.
Fractional coordinates of all 8 atoms:
C 0.0000 0.0000 0.2336  3 Zr 2.38, 3 Y 2.55
C 0.0000 0.0000 0.7664  3 Zr 2.38, 3 Y 2.55
Te 0.6667 0.3333 0.0000  6 Zr 3.00
Te 0.3333 0.6667 0.5000  6 Y 3.10
Y 0.6667 0.3333 0.3365  3 C 2.55
Y 0.6667 0.3333 0.6635  3 C 2.55
Zr 0.3333 0.6667 0.1541  3 C 2.38
Zr 0.3333 0.6667 0.8459  3 C 2.38

Calculated values
Theoretical density (Mg/m³): 6.61
Symmetry: No. 187
Magnetization (μB/f.u.): 0.00


Q: Which of them is the most stable? A: arrangement a.


Arrangement a

A relaxed structure of WC, computed with PBE.

Unit cell a=2.9738 b=2.9738 c=11.0765 alpha=90.00 beta=90.00 gamma=120.00
Last column: nearest neighbours and their distance in Å.
Fractional coordinates of all 8 atoms:
C 0.0000 0.0000 0.0000  6 W 2.19
C 0.6667 0.3333 0.2500  6 W 2.22
C 0.0000 0.0000 0.5000  6 W 2.19
C 0.3333 0.6667 0.7500  6 W 2.22
W 0.3333 0.6667 0.1222  6 C 2.19-2.22
W 0.3333 0.6667 0.3778  6 C 2.19-2.22
W 0.6667 0.3333 0.6222  6 C 2.19-2.22
W 0.6667 0.3333 0.8778  6 C 2.19-2.22

Calculated values
Theoretical density (Mg/m³): 15.33
Symmetry: No. 194
Magnetization (μB/f.u.): 0.00


Arrangement b

A relaxed structure of WC, computed with PBE.

Unit cell a=3.3246 b=3.3246 c=3.3246 alpha=60.00 beta=60.00 gamma=60.00
Last column: nearest neighbours and their distance in Å.
Fractional coordinates of all 2 atoms:
C 0.0000 0.0000 0.0000  4 W 2.04
W 0.2500 0.2500 0.2500  4 C 2.04

Calculated values
Theoretical density (Mg/m³): 12.52
Symmetry: No. 216
Magnetization (μB/f.u.): 0.00


Q: Which of them is the most stable? A: arrangement a.


Arrangement a

A relaxed structure of WC, computed with PBE.

Unit cell a=2.9194 b=2.9194 c=5.7622 alpha=90.00 beta=90.00 gamma=120.00
Last column: nearest neighbours and their distance in Å.
Fractional coordinates of all 4 atoms:
C 0.3333 0.6667 0.2500  6 W 2.22
C 0.6667 0.3333 0.7500  6 W 2.22
W 0.0000 0.0000 0.0000  6 C 2.22
W 0.0000 0.0000 0.5000  6 C 2.22

Calculated values
Theoretical density (Mg/m³): 15.29
Symmetry: No. 194
Magnetization (μB/f.u.): 0.00


Arrangement b

A relaxed structure of WC, computed with PBE.

Unit cell a=3.5561 b=3.5561 c=17.9131 alpha=90.00 beta=90.00 gamma=120.00
Last column: nearest neighbours and their distance in Å.
Fractional coordinates of all 16 atoms:
C 0.0000 0.0000 0.1051  4 W 2.06-2.11
C 0.6667 0.3333 0.2315  5 W 2.06-2.24
C 0.3333 0.6667 0.3594  4 W 2.05-2.09
C 0.6667 0.3333 0.4797  4 W 2.06-2.21
C 0.0000 0.0000 0.6051  4 W 2.06-2.11
C 0.3333 0.6667 0.7315  5 W 2.06-2.24
C 0.6667 0.3333 0.8594  4 W 2.05-2.09
C 0.3333 0.6667 0.9797  4 W 2.06-2.21
W 0.6667 0.3333 0.1141  4 C 2.06-2.10
W 0.3333 0.6667 0.2426  4 C 2.06-2.09
W 0.6667 0.3333 0.3564  5 C 2.05-2.24
W 0.0000 0.0000 0.4872  4 C 2.06-2.11
W 0.3333 0.6667 0.6141  4 C 2.06-2.10
W 0.6667 0.3333 0.7426  4 C 2.06-2.09
W 0.3333 0.6667 0.8564  5 C 2.05-2.24
W 0.0000 0.0000 0.9872  4 C 2.06-2.11

Calculated values
Theoretical density (Mg/m³): 13.26
Symmetry: No. 186
Magnetization (μB/f.u.): 0.00


Arrangement c

A relaxed structure of WC, computed with PBE.

Unit cell a=3.1020 b=3.1020 c=3.1020 alpha=120.00 beta=90.00 gamma=120.00
Last column: nearest neighbours and their distance in Å.
Fractional coordinates of all 2 atoms:
C 0.5000 0.0000 0.5000  6 W 2.19
W 0.0000 0.0000 0.0000  6 C 2.19

Calculated values
Theoretical density (Mg/m³): 15.41
Symmetry: No. 225
Magnetization (μB/f.u.): 0.00


Q: Which of them is the most stable? A: arrangement a.


Arrangement a

A relaxed structure of Y2ZnC, computed with PBE.

Unit cell a=3.6298 b=3.6298 c=14.8680 alpha=90.00 beta=90.00 gamma=120.00
Last column: nearest neighbours and their distance in Å.
Fractional coordinates of all 8 atoms:
C 0.0000 0.0000 0.0000  6 Y 2.49
C 0.0000 0.0000 0.5000  6 Y 2.49
Y 0.3333 0.6667 0.0906  3 C 2.49
Y 0.3333 0.6667 0.4094  3 C 2.49
Y 0.6667 0.3333 0.5906  3 C 2.49
Y 0.6667 0.3333 0.9094  3 C 2.49
Zn 0.6667 0.3333 0.2500  6 Y 3.16
Zn 0.3333 0.6667 0.7500  6 Y 3.16

Calculated values
Theoretical density (Mg/m³): 5.00
Symmetry: No. 194
Magnetization (μB/f.u.): 0.98


Arrangement b

A relaxed structure of Y2ZnC, computed with PBE.

Unit cell a=6.2583 b=6.2583 c=15.5644 alpha=100.03 beta=100.03 gamma=59.99
Last column: nearest neighbours and their distance in Å.
Fractional coordinates of all 24 atoms:
C 0.0000 0.5000 0.0000  6 Y 2.46-2.53
C 0.3351 0.8288 0.0048  6 Y 2.45-2.53
C 0.1712 0.6649 0.4952  6 Y 2.45-2.53
C 0.5000 0.0000 0.5000  6 Y 2.46-2.53
C 0.8288 0.3351 0.5048  6 Y 2.45-2.53
C 0.6649 0.1712 0.9952  6 Y 2.45-2.53
Y 0.0202 0.1965 0.0868  3 C 2.46-2.48
Y 0.6896 0.8621 0.0869  3 C 2.45-2.53
Y 0.3649 0.5216 0.0921  3 C 2.46-2.53
Y 0.4784 0.6351 0.4079  3 C 2.46-2.53
Y 0.1379 0.3104 0.4131  3 C 2.45-2.53
Y 0.8035 0.9798 0.4132  3 C 2.46-2.48
Y 0.1965 0.0202 0.5868  3 C 2.46-2.48
Y 0.8621 0.6896 0.5869  3 C 2.45-2.53
Y 0.5216 0.3649 0.5921  3 C 2.46-2.53
Y 0.6351 0.4784 0.9079  3 C 2.46-2.53
Y 0.3104 0.1379 0.9131  3 C 2.45-2.53
Y 0.9798 0.8035 0.9132  3 C 2.46-2.48
Zn 0.4012 0.1810 0.2477  1 Zn 2.52
Zn 0.7873 0.2127 0.2500  2 Zn 2.52
Zn 0.8190 0.5988 0.2523  1 Zn 2.52
Zn 0.1810 0.4012 0.7477  1 Zn 2.52
Zn 0.2127 0.7873 0.7500  2 Zn 2.52
Zn 0.5988 0.8190 0.7523  1 Zn 2.52

Calculated values
Theoretical density (Mg/m³): 4.92
Symmetry: No. 15
Magnetization (μB/f.u.): 0.46


Q: Which of them is the most stable? A: arrangement b.